The following is a DFT calculation (PBE) of crystalline Mg2NiAu2 at its relaxed geometry.

extended XYZ file:
```
10
Lattice="6.877 0.000 0.000 0.000 6.877 0.000 0.000 0.000 3.816" Properties=species:S:1:pos:R:3 pbc="T T T"
Ni 0.000 0.000 0.000
Ni 3.439 3.439 0.000
Mg 1.134 4.572 1.908
Mg 4.572 5.743 1.908
Mg 5.743 2.305 1.908
Mg 2.305 1.134 1.908
Au 2.447 5.886 0.000
Au 5.886 4.430 0.000
Au 4.430 0.991 0.000
Au 0.991 2.447 0.000
```

Computed properties:
Energy relative to the lowest polymorph listed for this composition: 0.000 eV/atom
Uncorrected energy: -3.375 eV/atom
Formation enthalpy at 0 K: -0.27 eV/atom
Theoretical density: 9.2 g/cm³

***

The following is a DFT calculation (PBE) of crystalline BaCu2BiSe4 at its relaxed geometry.

extended XYZ file:
```
8
Lattice="6.864 0.000 0.000 3.432 5.797 0.009 3.432 0.484 5.776" Properties=species:S:1:pos:R:3 pbc="T T T"
Ba 0.000 0.000 0.000
Cu 3.432 2.152 1.982
Cu 10.296 4.128 3.802
Bi 6.864 3.140 2.892
Se 5.168 0.920 2.884
Se 5.168 5.360 2.901
Se 8.560 2.950 0.681
Se 8.560 3.330 5.104
```

Computed properties:
Energy relative to the elements, uncorrected: -0.588 eV/atom
Uncorrected energy: -4.080 eV/atom
Theoretical density: 5.7 g/cm³

***

The following is a DFT calculation (PBE) of crystalline Sr2MgAg2 at its relaxed geometry.

extended XYZ file:
```
10
Lattice="4.747 0.000 0.000 2.373 6.201 -0.094 2.373 0.765 10.211" Properties=species:S:1:pos:R:3 pbc="T T T"
Sr 2.373 1.714 1.088
Sr 4.747 2.603 6.852
Sr 7.120 5.251 9.030
Sr 4.747 4.362 3.266
Mg 4.747 0.731 3.817
Mg 4.747 6.235 6.301
Ag 7.120 1.539 8.981
Ag 2.373 2.159 4.438
Ag 2.373 5.427 1.137
Ag 7.120 4.807 5.680
```

Computed properties:
Energy relative to the lowest polymorph listed for this composition: 0.000 eV/atom
Uncorrected energy: -2.402 eV/atom
Formation enthalpy at 0 K: -0.27 eV/atom
Theoretical density: 4.6 g/cm³

***

The following is a DFT calculation (PBE) of crystalline Ba3InCl at its relaxed geometry.

extended XYZ file:
```
5
Lattice="-5.108 -2.070 2.469 2.521 -5.450 0.646 2.007 1.578 5.473" Properties=species:S:1:pos:R:3 pbc="T T T"
Cl 0.000 0.000 0.000
Ba 1.261 -2.725 0.323
Ba 1.003 0.789 2.737
Ba -2.554 -1.035 1.235
In -0.290 -2.971 4.295
```

Computed properties:
Energy relative to the elements, uncorrected: -0.749 eV/atom
Energy relative to the lowest polymorph listed for this composition: 0.000 eV/atom
Uncorrected energy: -2.819 eV/atom
Theoretical density: 4.2 g/cm³

***

The following is a DFT calculation (PBE) of crystalline PmSmHo3 at its relaxed geometry.

extended XYZ file:
```
10
Lattice="-0.876 -3.149 1.563 2.797 -2.521 -7.709 10.770 -0.910 4.206" Properties=species:S:1:pos:R:3 pbc="T T T"
Pm 2.762 -1.518 0.595
Pm 9.929 -5.062 -2.535
Sm 3.141 -4.522 -1.027
Sm 9.549 -2.058 -0.913
Ho 10.534 -4.036 4.073
Ho 2.157 -2.545 -6.014
Ho 5.190 -3.584 1.987
Ho 7.501 -2.996 -3.927
Ho 4.359 -4.295 -4.097
Ho 8.332 -2.285 2.156
```

Computed properties:
Energy relative to the lowest polymorph listed for this composition: 0.298 eV/atom
Uncorrected energy: -4.328 eV/atom
Formation enthalpy at 0 K: 0.31 eV/atom
Theoretical density: 7.4 g/cm³

***

The following is a DFT calculation (PBE) of crystalline Ce2HoIn4 at its relaxed geometry.

extended XYZ file:
```
7
Lattice="4.905 0.000 -1.564 -0.498 4.880 -1.564 0.033 0.036 8.579" Properties=species:S:1:pos:R:3 pbc="T T T"
Ho 0.000 0.000 0.000
Ce 3.322 3.678 1.944
Ce 1.118 1.238 3.508
In 1.498 4.375 4.701
In 4.200 1.935 4.701
In 2.941 0.541 0.751
In 0.239 2.981 0.751
```

Computed properties:
Energy relative to the lowest polymorph listed for this composition: 0.000 eV/atom
Uncorrected energy: -4.152 eV/atom
Formation enthalpy at 0 K: -0.24 eV/atom
Theoretical density: 7.3 g/cm³

***

The following is a DFT calculation (PBE) of crystalline Tb5Y8In at its relaxed geometry.

extended XYZ file:
```
14
Lattice="-8.273 0.265 -2.057 1.351 -8.190 1.961 3.050 4.241 6.743" Properties=species:S:1:pos:R:3 pbc="T T T"
Tb -6.960 -0.901 -0.797
Tb -6.053 -5.995 0.344
Tb -4.253 -3.323 4.550
Tb -2.612 2.253 2.343
Tb -1.803 -1.125 0.398
Y 3.251 -0.025 7.359
Y 1.424 1.626 3.734
Y -4.550 -0.796 1.939
Y -1.530 1.268 5.671
Y -3.169 -4.239 1.718
Y 0.365 -3.322 7.312
Y -1.462 -1.671 3.688
Y 1.505 -3.602 3.966
In 0.895 -0.848 5.523
```

Computed properties:
Uncorrected energy: -5.424 eV/atom
Formation enthalpy at 0 K: 0.12 eV/atom
Theoretical density: 5.8 g/cm³

***

The following is a DFT calculation (PBE) of crystalline FeAuSeN2 at its relaxed geometry.

extended XYZ file:
```
5
Lattice="3.750 0.000 0.000 0.000 3.750 0.000 0.000 0.000 7.393" Properties=species:S:1:pos:R:3 pbc="T T T"
Au 0.000 0.000 0.000
Fe 1.875 1.875 3.696
Se 0.000 0.000 3.696
N 0.000 1.875 0.000
N 1.875 0.000 0.000
```

Computed properties:
Energy relative to the elements, uncorrected: 2.114 eV/atom
Energy relative to the lowest polymorph listed for this composition: 1.294 eV/atom
Uncorrected energy: -4.261 eV/atom
Theoretical density: 5.7 g/cm³

***

The following is a DFT calculation (PBE) of crystalline DyAs2RuRh5 at its relaxed geometry.

extended XYZ file:
```
9
Lattice="3.986 0.000 0.000 0.000 3.986 0.000 0.000 0.000 11.730" Properties=species:S:1:pos:R:3 pbc="T T T"
Dy 1.993 1.993 5.865
As 0.000 0.000 9.359
As 0.000 0.000 2.371
Ru 0.000 0.000 0.000
Rh 0.000 0.000 5.865
Rh 0.000 1.993 7.965
Rh 1.993 0.000 3.765
Rh 0.000 1.993 3.765
Rh 1.993 0.000 7.965
```

Computed properties:
Uncorrected energy: -6.630 eV/atom
Formation enthalpy at 0 K: 0.03 eV/atom
Theoretical density: 8.3 g/cm³

***

The following is a DFT calculation (PBE) of crystalline ThTc2Sn at its relaxed geometry.

extended XYZ file:
```
4
Lattice="-3.255 -0.485 -1.317 -1.595 -1.013 4.316 -0.966 4.556 0.712" Properties=species:S:1:pos:R:3 pbc="T T T"
Sn -1.627 -0.242 -0.658
Th -2.908 1.529 1.856
Tc -0.483 2.278 0.356
Tc -0.798 -0.507 2.158
```

Computed properties:
Uncorrected energy: -8.115 eV/atom
Formation enthalpy at 0 K: -0.08 eV/atom
Theoretical density: 11.5 g/cm³

***

The following is a DFT calculation (PBE) of crystalline Pa3Tl4SbO12 at its relaxed geometry.

extended XYZ file:
```
20
Lattice="7.497 0.000 0.000 -2.499 7.068 0.000 -2.499 -3.534 6.121" Properties=species:S:1:pos:R:3 pbc="T T T"
Pa 2.499 -1.767 3.060
Pa 2.499 3.534 0.000
Pa -2.499 1.767 3.060
Tl 1.249 1.767 3.060
Tl -1.249 -1.767 3.060
Tl 3.748 0.000 0.000
Tl -1.249 3.534 0.000
Sb 0.000 0.000 0.000
O -1.249 0.883 4.591
O 3.802 -2.688 4.656
O 1.196 -0.846 1.465
O 3.748 2.650 1.530
O 3.802 5.376 0.000
O 1.196 1.691 0.000
O 3.748 0.000 3.060
O -1.249 3.534 3.060
O 1.249 -0.883 4.591
O -3.802 2.688 4.656
O 1.249 4.417 1.530
O -1.196 0.846 1.465
```

Computed properties:
Energy relative to the elements, uncorrected: -2.348 eV/atom
Uncorrected energy: -7.426 eV/atom
Theoretical density: 9.3 g/cm³

***

The following is a DFT calculation (PBE) of crystalline CoCu2Ru at its relaxed geometry.

extended XYZ file:
```
4
Lattice="2.533 0.000 0.000 0.000 2.533 0.000 0.000 0.000 7.748" Properties=species:S:1:pos:R:3 pbc="T T T"
Co 1.266 1.266 5.811
Cu 0.000 0.000 7.660
Cu 0.000 0.000 3.963
Ru 1.266 1.266 1.937
```

Computed properties:
Energy relative to the lowest polymorph listed for this composition: 0.133 eV/atom
Uncorrected energy: -5.855 eV/atom
Formation enthalpy at 0 K: 0.29 eV/atom
Theoretical density: 9.6 g/cm³